# 1
DFT (PBE) results for crystalline TeAsIrN2 at its relaxed geometry.

Cell and atoms, written as POSCAR:
```
TeAsIrN2
1.0
-0.6524 3.6929 0.7324
-1.4500 -0.9324 3.4100
5.7980 0.5079 2.6042
Te N Ir As
1 2 1 1
direct
0.0000 0.0000 0.5000 Te
0.5000 0.0000 0.0000 N
0.0000 0.5000 0.0000 N
0.0000 0.0000 0.0000 Ir
0.5000 0.5000 0.5000 As
```

Computed properties:
* SG: P4/mmm, No. 123
* electronic total energy: -5.724 eV/atom
* energy relative to the lowest polymorph listed for this composition: 0.000 eV per atom

---

# 2
DFT (PBE) results for crystalline NpTiTcOs at its relaxed geometry.

Cell and atoms, written as POSCAR:
```
NpTiTcOs
1.0
4.5810 0.0000 0.0000
2.2905 3.9672 0.0000
2.2905 1.3224 3.7404
Ti Tc Os Np
1 1 1 1
direct
0.2500 0.2500 0.2500 Ti
0.5000 0.5000 0.5000 Tc
0.0000 0.0000 0.0000 Os
0.7500 0.7500 0.7500 Np
```

Computed properties:
* SG: F-43m, No. 216
* electronic total energy: -10.752 eV/atom
* calculated formation energy: -0.14 eV per atom

---

# 3
DFT (PBE) results for crystalline RbSiPtW2 at its relaxed geometry.

Cell and atoms, written as POSCAR:
```
RbSiPtW2
1.0
5.1226 0.0000 0.0000
0.0000 4.6738 0.0000
0.0000 0.0000 5.1226
Si W Pt Rb
1 2 1 1
direct
0.0000 0.5000 0.0000 Si
0.5000 0.0000 0.0000 W
0.0000 0.0000 0.5000 W
0.0000 0.0000 0.0000 Pt
0.5000 0.5000 0.5000 Rb
```

Computed properties:
* SG: P4/mmm, No. 123
* electronic total energy: -5.859 eV/atom

---

# 4
DFT (PBE) results for crystalline Sc3VTe at its relaxed geometry.

Cell and atoms, written as POSCAR:
```
Sc3VTe
1.0
5.2759 0.0000 0.0000
0.0000 5.2759 0.0000
0.0000 0.0000 5.2759
Sc V Te
3 1 1
direct
0.0000 0.5000 0.0000 Sc
0.5000 0.0000 0.0000 Sc
0.0000 0.0000 0.5000 Sc
0.5000 0.5000 0.5000 V
0.0000 0.0000 0.0000 Te
```

Computed properties:
* SG: Pm-3m, No. 221
* electronic total energy: -5.738 eV/atom
* energy relative to the lowest polymorph listed for this composition: 0.246 eV per atom

---

Question: Among the records above, which one has the highest electronic total energy?
Answer: TeAsIrN2

---

Copy entry 2 word for word.
DFT (PBE) results for crystalline NpTiTcOs at its relaxed geometry.

Cell and atoms, written as POSCAR:
```
NpTiTcOs
1.0
4.5810 0.0000 0.0000
2.2905 3.9672 0.0000
2.2905 1.3224 3.7404
Ti Tc Os Np
1 1 1 1
direct
0.2500 0.2500 0.2500 Ti
0.5000 0.5000 0.5000 Tc
0.0000 0.0000 0.0000 Os
0.7500 0.7500 0.7500 Np
```

Computed properties:
* SG: F-43m, No. 216
* electronic total energy: -10.752 eV/atom
* calculated formation energy: -0.14 eV per atom

---

Question: electronic total energy of number 3 (RbSiPtW2)?
Answer: -5.859 eV/atom